Record 1
# TaSiMo (PBE, optimized geometry)
# - uncorrected formation energy (eV per atom) = -0.100
# - calculated density (g/cm³) = 10.5
# - total magnetization (μB per atom) = 0.000
data_TaSiMo
_chemical_formula_sum 'Ta1 Si1 Mo1'
_space_group_name_H-M_alt 'P 3 m 1'
_space_group_IT_number 156
_cell_length_a 4.4857
_cell_length_b 4.4857
_cell_length_c 2.7590
_cell_angle_alpha 90.00
_cell_angle_beta 90.00
_cell_angle_gamma 120.00
loop_
_space_group_symop_operation_xyz
'x,y,z'
'-y,x-y,z'
'-x+y,-x,z'
'-y,-x,z'
'-x+y,y,z'
'x,x-y,z'
loop_
_atom_site_label
_atom_site_type_symbol
_atom_site_fract_x
_atom_site_fract_y
_atom_site_fract_z
_atom_site_occupancy
Ta1 Ta 0.0000 0.0000 0.0000 1
Si1 Si 0.6667 0.3333 0.4337 1
Mo1 Mo 0.3333 0.6667 0.3732 1

Record 2
# TaSiMo2 (PBE, optimized geometry)
# - uncorrected formation energy (eV per atom) = -0.061
# - calculated density (g/cm³) = 10.6
# - total magnetization (μB per atom) = 0.000
data_TaSiMo2
_chemical_formula_sum 'Ta1 Si1 Mo2'
_space_group_name_H-M_alt 'P 1 2/m 1'
_space_group_IT_number 10
_cell_length_a 2.767
_cell_length_b 4.415
_cell_length_c 5.283
_cell_angle_alpha 90.00
_cell_angle_beta 102.47
_cell_angle_gamma 90.00
loop_
_space_group_symop_operation_xyz
'x,y,z'
'-x,-y,-z'
'-x,y,-z'
'x,-y,z'
loop_
_atom_site_label
_atom_site_type_symbol
_atom_site_fract_x
_atom_site_fract_y
_atom_site_fract_z
_atom_site_occupancy
Ta1 Ta 0.000 0.000 0.000 1
Si1 Si 0.500 0.000 0.500 1
Mo1 Mo 0.227 0.500 0.740 1

Record 3
# TaSi3Mo (PBE, optimized geometry)
# - uncorrected formation energy (eV per atom) = 1.171
# - calculated density (g/cm³) = 6.2
# - total magnetization (μB per atom) = 0.000
data_TaSi3Mo
_chemical_formula_sum 'Ta1 Si3 Mo1'
_space_group_name_H-M_alt 'P m -3 m'
_space_group_IT_number 221
_space_group_name_Hall '-P 4 2 3'
_cell_length_a 4.600
_cell_length_b 4.600
_cell_length_c 4.600
_cell_angle_alpha 90.00
_cell_angle_beta 90.00
_cell_angle_gamma 90.00
loop_
_atom_site_label
_atom_site_type_symbol
_atom_site_fract_x
_atom_site_fract_y
_atom_site_fract_z
_atom_site_occupancy
Ta1 Ta 0.000 0.000 0.000 1
Si1 Si 0.000 0.500 0.500 1
Mo1 Mo 0.500 0.500 0.500 1

Record 4
# TaSiMo2 (PBE, optimized geometry)
# - uncorrected formation energy (eV per atom) = 0.083
# - calculated density (g/cm³) = 10.5
# - total magnetization (μB per atom) = 0.000
data_TaSiMo2
_chemical_formula_sum 'Ta1 Si1 Mo2'
_space_group_name_H-M_alt 'P 4/m m m'
_space_group_IT_number 123
_space_group_name_Hall '-P 4 2'
_cell_length_a 2.829
_cell_length_b 2.829
_cell_length_c 7.890
_cell_angle_alpha 90.00
_cell_angle_beta 90.00
_cell_angle_gamma 90.00
loop_
_atom_site_label
_atom_site_type_symbol
_atom_site_fract_x
_atom_site_fract_y
_atom_site_fract_z
_atom_site_occupancy
Ta1 Ta 0.000 0.000 0.000 1
Si1 Si 0.000 0.000 0.500 1
Mo1 Mo 0.500 0.500 0.285 1

Record 5
# TaSiMo2 (PBE, optimized geometry)
# - uncorrected formation energy (eV per atom) = 0.180
# - calculated density (g/cm³) = 10.4
# - total magnetization (μB per atom) = 0.000
data_TaSiMo2
_chemical_formula_sum 'Ta3 Si3 Mo6'
_space_group_name_H-M_alt 'R -3 m'
_space_group_IT_number 166
_space_group_name_Hall '-R 3 2"'
_cell_length_a 2.8496
_cell_length_b 2.8496
_cell_length_c 27.3752
_cell_angle_alpha 90.00
_cell_angle_beta 90.00
_cell_angle_gamma 120.00
loop_
_atom_site_label
_atom_site_type_symbol
_atom_site_fract_x
_atom_site_fract_y
_atom_site_fract_z
_atom_site_occupancy
Ta1 Ta 0.0000 0.0000 0.0000 1
Si1 Si 0.0000 0.0000 0.5000 1
Mo1 Mo 0.0000 0.0000 0.2429 1

Record 6
# TaSiMo2 (PBE, optimized geometry)
# - uncorrected formation energy (eV per atom) = 0.157
# - calculated density (g/cm³) = 10.3
# - total magnetization (μB per atom) = 0.000
data_TaSiMo2
_chemical_formula_sum 'Ta3 Si3 Mo6'
_space_group_name_H-M_alt 'R 3 m'
_space_group_IT_number 160
_space_group_name_Hall 'R 3 -2"'
_cell_length_a 2.9488
_cell_length_b 2.9488
_cell_length_c 25.7387
_cell_angle_alpha 90.00
_cell_angle_beta 90.00
_cell_angle_gamma 120.00
loop_
_atom_site_label
_atom_site_type_symbol
_atom_site_fract_x
_atom_site_fract_y
_atom_site_fract_z
_atom_site_occupancy
Ta1 Ta 0.0000 0.0000 0.0000 1
Si1 Si 0.0000 0.0000 0.7512 1
Mo1 Mo 0.0000 0.0000 0.2419 1
Mo2 Mo 0.0000 0.0000 0.4949 1

Record 7
# TaSiMo (PBE, optimized geometry)
# - uncorrected formation energy (eV per atom) = -0.348
# - calculated density (g/cm³) = 10.6
# - total magnetization (μB per atom) = 0.000
data_TaSiMo
_chemical_formula_sum 'Ta4 Si4 Mo4'
_space_group_name_H-M_alt 'C 1 m 1'
_space_group_IT_number 8
_cell_length_a 9.396
_cell_length_b 3.315
_cell_length_c 6.311
_cell_angle_alpha 90.00
_cell_angle_beta 102.51
_cell_angle_gamma 90.00
loop_
_space_group_symop_operation_xyz
'x,y,z'
'x,-y,z'
'x+1/2,y+1/2,z'
'x+1/2,-y+1/2,z'
loop_
_atom_site_label
_atom_site_type_symbol
_atom_site_fract_x
_atom_site_fract_y
_atom_site_fract_z
_atom_site_occupancy
Ta1 Ta 0.000 0.000 0.000 1
Ta2 Ta 0.147 0.500 0.386 1
Si1 Si 0.184 0.500 0.817 1
Si2 Si 0.440 0.500 0.409 1
Mo1 Mo 0.299 0.000 0.134 1
Mo2 Mo 0.368 0.000 0.662 1

Record 8
# TaSiMo (PBE, optimized geometry)
# - uncorrected formation energy (eV per atom) = -0.381
# - calculated density (g/cm³) = 10.8
# - total magnetization (μB per atom) = 0.000
data_TaSiMo
_chemical_formula_sum 'Ta4 Si4 Mo4'
_space_group_name_H-M_alt 'C 1 2/m 1'
_space_group_IT_number 12
_cell_length_a 9.647
_cell_length_b 3.388
_cell_length_c 6.922
_cell_angle_alpha 90.00
_cell_angle_beta 124.15
_cell_angle_gamma 90.00
loop_
_space_group_symop_operation_xyz
'x,y,z'
'-x,-y,-z'
'-x,y,-z'
'x,-y,z'
'x+1/2,y+1/2,z'
'-x+1/2,-y+1/2,-z'
'-x+1/2,y+1/2,-z'
'x+1/2,-y+1/2,z'
loop_
_atom_site_label
_atom_site_type_symbol
_atom_site_fract_x
_atom_site_fract_y
_atom_site_fract_z
_atom_site_occupancy
Ta1 Ta 0.079 0.000 0.338 1
Si1 Si 0.142 0.500 0.670 1
Mo1 Mo 0.159 0.500 0.059 1

Record 9
# TaSiMo2 (PBE, optimized geometry)
# - uncorrected formation energy (eV per atom) = -0.120
# - calculated density (g/cm³) = 10.5
# - total magnetization (μB per atom) = 0.000
data_TaSiMo2
_chemical_formula_sum 'Ta2 Si2 Mo4'
_space_group_name_H-M_alt 'C m m 2'
_space_group_IT_number 35
_cell_length_a 3.286
_cell_length_b 4.569
_cell_length_c 8.415
_cell_angle_alpha 90.00
_cell_angle_beta 90.00
_cell_angle_gamma 90.00
loop_
_space_group_symop_operation_xyz
'x,y,z'
'-x,-y,z'
'-x,y,z'
'x,-y,z'
'x+1/2,y+1/2,z'
'-x+1/2,-y+1/2,z'
'-x+1/2,y+1/2,z'
'x+1/2,-y+1/2,z'
loop_
_atom_site_label
_atom_site_type_symbol
_atom_site_fract_x
_atom_site_fract_y
_atom_site_fract_z
_atom_site_occupancy
Ta1 Ta 0.000 0.000 0.000 1
Si1 Si 0.000 0.500 0.757 1
Mo1 Mo 0.000 0.000 0.526 1
Mo2 Mo 0.000 0.500 0.269 1

Record 10
# TaSiMo (PBE, optimized geometry)
# - uncorrected formation energy (eV per atom) = -0.291
# - calculated density (g/cm³) = 10.9
# - total magnetization (μB per atom) = 0.000
data_TaSiMo
_chemical_formula_sum 'Ta4 Si4 Mo4'
_space_group_name_H-M_alt 'I m m a'
_space_group_IT_number 74
_space_group_name_Hall '-I 2b 2'
_cell_length_a 5.092
_cell_length_b 5.122
_cell_length_c 7.152
_cell_angle_alpha 90.00
_cell_angle_beta 90.00
_cell_angle_gamma 90.00
loop_
_atom_site_label
_atom_site_type_symbol
_atom_site_fract_x
_atom_site_fract_y
_atom_site_fract_z
_atom_site_occupancy
Ta1 Ta 0.000 0.250 0.129 1
Si1 Si 0.000 0.000 0.500 1
Mo1 Mo 0.250 0.250 0.750 1

Record 11
# TaSiMo (PBE, optimized geometry)
# - uncorrected formation energy (eV per atom) = -0.343
# - calculated density (g/cm³) = 10.7
# - total magnetization (μB per atom) = 0.000
data_TaSiMo
_chemical_formula_sum 'Ta4 Si4 Mo4'
_space_group_name_H-M_alt 'I m m 2'
_space_group_IT_number 44
_cell_length_a 3.258
_cell_length_b 4.201
_cell_length_c 13.879
_cell_angle_alpha 90.00
_cell_angle_beta 90.00
_cell_angle_gamma 90.00
loop_
_space_group_symop_operation_xyz
'x,y,z'
'-x,-y,z'
'-x,y,z'
'x,-y,z'
'x+1/2,y+1/2,z+1/2'
'-x+1/2,-y+1/2,z+1/2'
'-x+1/2,y+1/2,z+1/2'
'x+1/2,-y+1/2,z+1/2'
loop_
_atom_site_label
_atom_site_type_symbol
_atom_site_fract_x
_atom_site_fract_y
_atom_site_fract_z
_atom_site_occupancy
Ta1 Ta 0.000 0.000 0.000 1
Ta2 Ta 0.000 0.500 0.320 1
Si1 Si 0.000 0.000 0.182 1
Si2 Si 0.000 0.000 0.463 1
Mo1 Mo 0.000 0.000 0.646 1
Mo2 Mo 0.000 0.500 0.823 1

Record 12
# TaSiMo2 (PBE, optimized geometry)
# - uncorrected formation energy (eV per atom) = -0.062
# - calculated density (g/cm³) = 10.6
# - total magnetization (μB per atom) = 0.000
data_TaSiMo2
_chemical_formula_sum 'Ta2 Si2 Mo4'
_space_group_name_H-M_alt 'C 1 2/m 1'
_space_group_IT_number 12
_cell_length_a 5.507
_cell_length_b 8.756
_cell_length_c 2.814
_cell_angle_alpha 90.00
_cell_angle_beta 112.22
_cell_angle_gamma 90.00
loop_
_space_group_symop_operation_xyz
'x,y,z'
'-x,-y,-z'
'-x,y,-z'
'x,-y,z'
'x+1/2,y+1/2,z'
'-x+1/2,-y+1/2,-z'
'-x+1/2,y+1/2,-z'
'x+1/2,-y+1/2,z'
loop_
_atom_site_label
_atom_site_type_symbol
_atom_site_fract_x
_atom_site_fract_y
_atom_site_fract_z
_atom_site_occupancy
Ta1 Ta 0.000 0.000 0.000 1
Si1 Si 0.000 0.500 0.000 1
Mo1 Mo 0.250 0.250 0.500 1

Record 13
# TaSiMo2 (PBE, optimized geometry)
# - uncorrected formation energy (eV per atom) = 0.100
# - calculated density (g/cm³) = 10.6
# - total magnetization (μB per atom) = 0.000
data_TaSiMo2
_chemical_formula_sum 'Ta1 Si1 Mo2'
_space_group_name_H-M_alt 'P 4 m m'
_space_group_IT_number 99
_cell_length_a 2.794
_cell_length_b 2.794
_cell_length_c 8.078
_cell_angle_alpha 90.00
_cell_angle_beta 90.00
_cell_angle_gamma 90.00
loop_
_space_group_symop_operation_xyz
'x,y,z'
'-y,x,z'
'-x,-y,z'
'y,-x,z'
'-x,y,z'
'y,x,z'
'x,-y,z'
'-y,-x,z'
loop_
_atom_site_label
_atom_site_type_symbol
_atom_site_fract_x
_atom_site_fract_y
_atom_site_fract_z
_atom_site_occupancy
Ta1 Ta 0.000 0.000 0.000 1
Si1 Si 0.500 0.500 0.764 1
Mo1 Mo 0.000 0.000 0.548 1
Mo2 Mo 0.500 0.500 0.282 1

Record 14
# TaSiMo (PBE, optimized geometry)
# - uncorrected formation energy (eV per atom) = -0.248
# - calculated density (g/cm³) = 10.8
# - total magnetization (μB per atom) = 0.000
data_TaSiMo
_chemical_formula_sum 'Ta2 Si2 Mo2'
_space_group_name_H-M_alt 'I 4 m m'
_space_group_IT_number 107
_space_group_name_Hall 'I 4 -2'
_cell_length_a 3.307
_cell_length_b 3.307
_cell_length_c 8.580
_cell_angle_alpha 90.00
_cell_angle_beta 90.00
_cell_angle_gamma 90.00
loop_
_atom_site_label
_atom_site_type_symbol
_atom_site_fract_x
_atom_site_fract_y
_atom_site_fract_z
_atom_site_occupancy
Ta1 Ta 0.000 0.000 0.000 1
Si1 Si 0.000 0.000 0.328 1
Mo1 Mo 0.000 0.000 0.675 1

Record 15
# TaSiMo (PBE, optimized geometry)
# - uncorrected formation energy (eV per atom) = -0.547
# - calculated density (g/cm³) = 10.9
# - total magnetization (μB per atom) = 0.000
data_TaSiMo
_chemical_formula_sum 'Ta3 Si3 Mo3'
_space_group_name_H-M_alt 'P -6 2 m'
_space_group_IT_number 189
_space_group_name_Hall 'P -6 -2'
_cell_length_a 6.9508
_cell_length_b 6.9508
_cell_length_c 3.3226
_cell_angle_alpha 90.00
_cell_angle_beta 90.00
_cell_angle_gamma 120.00
loop_
_atom_site_label
_atom_site_type_symbol
_atom_site_fract_x
_atom_site_fract_y
_atom_site_fract_z
_atom_site_occupancy
Ta1 Ta 0.0000 0.5985 0.0000 1
Si1 Si 0.0000 0.0000 0.0000 1
Si2 Si 0.3333 0.6667 0.5000 1
Mo1 Mo 0.0000 0.2597 0.5000 1

Record 16
# TaSiMo2 (PBE, optimized geometry)
# - uncorrected formation energy (eV per atom) = 0.544
# - calculated density (g/cm³) = 9.9
# - total magnetization (μB per atom) = 0.000
data_TaSiMo2
_chemical_formula_sum 'Ta4 Si4 Mo8'
_space_group_name_H-M_alt 'I -4 2 d'
_space_group_IT_number 122
_space_group_name_Hall 'I -4 2bw'
_cell_length_a 7.004
_cell_length_b 7.004
_cell_length_c 5.498
_cell_angle_alpha 90.00
_cell_angle_beta 90.00
_cell_angle_gamma 90.00
loop_
_atom_site_label
_atom_site_type_symbol
_atom_site_fract_x
_atom_site_fract_y
_atom_site_fract_z
_atom_site_occupancy
Ta1 Ta 0.000 0.000 0.000 1
Si1 Si 0.000 0.000 0.500 1
Mo1 Mo 0.213 0.250 0.625 1

Record 17
# TaSiMo2 (PBE, optimized geometry)
# - uncorrected formation energy (eV per atom) = -0.107
# - calculated density (g/cm³) = 10.7
# - total magnetization (μB per atom) = 0.000
data_TaSiMo2
_chemical_formula_sum 'Ta1 Si1 Mo2'
_space_group_name_H-M_alt 'P m m m'
_space_group_IT_number 47
_cell_length_a 3.504
_cell_length_b 4.189
_cell_length_c 4.257
_cell_angle_alpha 90.00
_cell_angle_beta 90.00
_cell_angle_gamma 90.00
loop_
_space_group_symop_operation_xyz
'x,y,z'
'-x,-y,-z'
'-x,-y,z'
'x,y,-z'
'x,-y,-z'
'-x,y,z'
'-x,y,-z'
'x,-y,z'
loop_
_atom_site_label
_atom_site_type_symbol
_atom_site_fract_x
_atom_site_fract_y
_atom_site_fract_z
_atom_site_occupancy
Ta1 Ta 0.000 0.000 0.000 1
Si1 Si 0.500 0.000 0.500 1
Mo1 Mo 0.000 0.500 0.500 1
Mo2 Mo 0.500 0.500 0.000 1

Record 18
# TaSiMo (PBE, optimized geometry)
# - uncorrected formation energy (eV per atom) = -0.367
# - calculated density (g/cm³) = 10.7
# - total magnetization (μB per atom) = 0.000
data_TaSiMo
_chemical_formula_sum 'Ta2 Si2 Mo2'
_space_group_name_H-M_alt 'P m m 2'
_space_group_IT_number 25
_cell_length_a 3.248
_cell_length_b 4.195
_cell_length_c 6.946
_cell_angle_alpha 90.00
_cell_angle_beta 90.00
_cell_angle_gamma 90.00
loop_
_space_group_symop_operation_xyz
'x,y,z'
'-x,-y,z'
'-x,y,z'
'x,-y,z'
loop_
_atom_site_label
_atom_site_type_symbol
_atom_site_fract_x
_atom_site_fract_y
_atom_site_fract_z
_atom_site_occupancy
Ta1 Ta 0.000 0.000 0.000 1
Ta2 Ta 0.000 0.500 0.371 1
Si1 Si 0.000 0.000 0.632 1
Si2 Si 0.500 0.500 0.071 1
Mo1 Mo 0.500 0.000 0.342 1
Mo2 Mo 0.500 0.500 0.706 1

Record 19
# TaSiMo (PBE, optimized geometry)
# - uncorrected formation energy (eV per atom) = -0.256
# - calculated density (g/cm³) = 10.7
# - total magnetization (μB per atom) = 0.000
data_TaSiMo
_chemical_formula_sum 'Ta8 Si8 Mo8'
_space_group_name_H-M_alt 'F d d 2'
_space_group_IT_number 43
_space_group_name_Hall 'F 2 -2d'
_cell_length_a 4.967
_cell_length_b 9.320
_cell_length_c 8.156
_cell_angle_alpha 90.00
_cell_angle_beta 90.00
_cell_angle_gamma 90.00
loop_
_atom_site_label
_atom_site_type_symbol
_atom_site_fract_x
_atom_site_fract_y
_atom_site_fract_z
_atom_site_occupancy
Ta1 Ta 0.000 0.000 0.000 1
Si1 Si 0.000 0.000 0.338 1
Mo1 Mo 0.000 0.000 0.670 1

Record 20
# TaSiMo2 (PBE, optimized geometry)
# - uncorrected formation energy (eV per atom) = -0.087
# - calculated density (g/cm³) = 10.5
# - total magnetization (μB per atom) = 0.000
data_TaSiMo2
_chemical_formula_sum 'Ta1 Si1 Mo2'
_space_group_name_H-M_alt 'P 1 m 1'
_space_group_IT_number 6
_cell_length_a 2.816
_cell_length_b 4.458
_cell_length_c 5.170
_cell_angle_alpha 90.00
_cell_angle_beta 102.81
_cell_angle_gamma 90.00
loop_
_space_group_symop_operation_xyz
'x,y,z'
'x,-y,z'
loop_
_atom_site_label
_atom_site_type_symbol
_atom_site_fract_x
_atom_site_fract_y
_atom_site_fract_z
_atom_site_occupancy
Ta1 Ta 0.000 0.000 0.000 1
Si1 Si 0.411 0.500 0.764 1
Mo1 Mo 0.500 0.000 0.500 1
Mo2 Mo 0.757 0.500 0.279 1